Ca3MnNiO6: PBEsol geometry, meta-GGA SCAN.

Unit cell a=6.267 b=6.267 c=6.267 alpha=91.87 beta=91.87 gamma=91.87
Last column: magnetic moment on the atom in μB.
Positions (direct):
O 0.043 0.918 0.713  -0.03
O 0.082 0.287 0.957  -0.03
Ni 0.250 0.250 0.250  -1.60
O 0.787 0.582 0.457  -0.03
Ca 0.750 0.387 0.113  0.00
O 0.713 0.043 0.918  -0.03
Ca 0.387 0.113 0.750  0.00
Ca 0.250 0.613 0.887  0.00
O 0.213 0.418 0.543  -0.03
Mn 0.000 0.000 0.000  2.69
O 0.918 0.713 0.043  -0.03
Ca 0.113 0.750 0.387  0.00
Mn 0.500 0.500 0.500  2.69
Ni 0.750 0.750 0.750  -1.60
Ca 0.887 0.250 0.613  0.00
O 0.582 0.457 0.787  -0.03
Ca 0.613 0.887 0.250  0.00
O 0.957 0.082 0.287  -0.03
O 0.287 0.957 0.082  -0.03
O 0.543 0.213 0.418  -0.03
O 0.457 0.787 0.582  -0.03
O 0.418 0.543 0.213  -0.03

- Formation energy without anion corrections: -29.32 eV per formula unit
- Space-group type: R-3c (167)

=====

Ca2MnNiSb: PBEsol geometry, meta-GGA SCAN.

Unit cell a=4.849 b=5.779 c=5.779 alpha=90.00 beta=90.00 gamma=90.00
Last column: magnetic moment on the atom in μB.
Positions (direct):
Mn 0.500 0.000 0.000  3.99
Sb 0.000 0.000 0.000  -0.04
Ni 0.500 0.500 0.500  1.11
Ca 0.000 0.000 0.500  -0.06
Ca 0.000 0.500 0.000  -0.06

- Formation energy without anion corrections: 2.07 eV per formula unit
- Space-group type: P4/mmm (123)

=====

CaMn3O4: PBEsol geometry, meta-GGA SCAN.

Unit cell a=3.211 b=5.436 c=5.436 alpha=108.53 beta=90.00 gamma=90.00
Last column: magnetic moment on the atom in μB.
Positions (direct):
Mn 0.500 0.000 0.500  4.55
Mn 0.500 0.500 0.000  4.55
O 0.500 0.259 0.259  0.15
O 0.500 0.741 0.741  0.15
Mn 0.000 0.500 0.500  4.54
O 0.000 0.741 0.259  0.19
Ca 0.000 0.000 0.000  0.02
O 0.000 0.259 0.741  0.19

- Formation energy without anion corrections: -17.81 eV per formula unit
- Space-group type: Cmmm (65)

=====

Ca4Mn2O7: PBEsol geometry, meta-GGA SCAN.

Unit cell a=5.277 b=6.562 c=10.067 alpha=90.00 beta=90.00 gamma=113.71
Last column: magnetic moment on the atom in μB.
Positions (direct):
Ca 0.941 0.300 0.126  0.01
O 0.423 0.000 0.788  0.12
Ca 0.441 0.300 0.374  0.01
Ca 0.141 0.700 0.374  0.01
O 0.500 0.000 0.500  0.08
O 0.923 0.000 0.712  0.12
Mn 0.725 0.000 0.878  3.56
Ca 0.359 0.300 0.874  0.01
Ca 0.859 0.300 0.626  0.01
O 0.437 0.322 0.118  0.03
Mn 0.275 0.000 0.122  3.56
O 0.000 0.000 0.000  0.08
O 0.077 0.000 0.288  0.12
O 0.577 0.000 0.212  0.12
O 0.885 0.322 0.882  0.03
O 0.063 0.678 0.618  0.03
O 0.385 0.322 0.618  0.03
Mn 0.775 0.000 0.378  3.56
Ca 0.559 0.700 0.626  0.01
O 0.115 0.678 0.118  0.03
Ca 0.059 0.700 0.874  0.01
O 0.937 0.322 0.382  0.03
Ca 0.641 0.700 0.126  0.01
O 0.615 0.678 0.382  0.03
Mn 0.225 0.000 0.622  3.56
O 0.563 0.678 0.882  0.03

- Formation energy without anion corrections: -37.15 eV per formula unit
- Space-group type: Cmce (64)

=====

Ca4Mn3O10: PBEsol geometry, meta-GGA SCAN.

Unit cell a=5.223 b=5.254 c=26.613 alpha=90.00 beta=90.00 gamma=90.00
Last column: magnetic moment on the atom in μB.
Positions (direct):
O 0.790 0.209 0.131  0.07
O 0.569 0.512 0.430  0.08
O 0.208 0.792 0.990  0.06
O 0.290 0.288 0.149  0.07
O 0.710 0.709 0.131  0.07
Ca 0.495 0.032 0.296  0.01
O 0.292 0.292 0.990  0.06
O 0.710 0.788 0.351  0.07
O 0.931 0.012 0.430  0.08
Ca 0.994 0.541 0.569  0.01
Ca 0.005 0.532 0.296  0.01
Mn 0.500 0.001 0.859  2.68
Mn 0.000 0.999 0.359  2.68
O 0.931 0.488 0.930  0.08
O 0.545 0.993 0.211  0.04
O 0.708 0.792 0.510  0.06
Ca 0.006 0.041 0.931  0.01
O 0.210 0.709 0.369  0.07
O 0.292 0.208 0.490  0.06
O 0.790 0.288 0.351  0.07
O 0.708 0.708 0.010  0.06
O 0.290 0.291 0.869  0.07
Mn 0.500 0.500 0.500  2.67
O 0.455 0.493 0.289  0.04
Ca 0.505 0.968 0.704  0.01
Ca 0.494 0.541 0.931  0.01
Mn 0.500 0.499 0.359  2.68
O 0.710 0.712 0.851  0.07
Mn 0.000 0.501 0.859  2.68
Mn 0.500 0.000 0.000  2.67
Ca 0.505 0.532 0.204  0.01
O 0.955 0.007 0.711  0.04
Ca 0.995 0.032 0.204  0.01
O 0.431 0.012 0.070  0.08
Ca 0.506 0.459 0.069  0.01
O 0.208 0.708 0.490  0.06
O 0.290 0.212 0.649  0.07
O 0.069 0.512 0.070  0.08
Ca 0.495 0.468 0.796  0.01
O 0.210 0.788 0.149  0.07
Mn 0.000 0.500 0.000  2.67
Ca 0.506 0.041 0.569  0.01
O 0.210 0.791 0.869  0.07
Ca 0.995 0.468 0.704  0.01
O 0.455 0.007 0.789  0.04
O 0.045 0.993 0.289  0.04
Ca 0.494 0.959 0.431  0.01
Ca 0.005 0.968 0.796  0.01
O 0.790 0.291 0.631  0.07
O 0.790 0.212 0.851  0.07
O 0.792 0.292 0.510  0.06
O 0.045 0.507 0.789  0.04
Mn 0.000 0.000 0.500  2.67
Mn 0.500 0.999 0.141  2.68
O 0.569 0.988 0.930  0.08
Mn 0.500 0.501 0.641  2.68
O 0.069 0.988 0.570  0.08
O 0.955 0.493 0.211  0.04
O 0.290 0.209 0.369  0.07
Mn 0.000 0.499 0.141  2.68
Ca 0.006 0.459 0.431  0.01
O 0.710 0.791 0.631  0.07
O 0.431 0.488 0.570  0.08
O 0.545 0.507 0.711  0.04
Ca 0.994 0.959 0.069  0.01
Mn 0.000 0.001 0.641  2.68
O 0.792 0.208 0.010  0.06
O 0.210 0.712 0.649  0.07

- Formation energy without anion corrections: -47.18 eV per formula unit
- Space-group type: Pbca (61)

=====

Ca3Mn2O7: PBEsol geometry, meta-GGA SCAN.

Unit cell a=5.220 b=5.239 c=9.965 alpha=90.00 beta=105.18 gamma=90.00
Last column: magnetic moment on the atom in μB.
Positions (direct):
Ca 0.932 0.781 0.373  0.00
O 0.544 0.458 0.170  0.07
O 0.813 0.261 0.000  0.09
O 0.373 0.458 0.830  0.07
O 0.456 0.958 0.830  0.07
O 0.489 0.744 0.391  0.04
O 0.932 0.040 0.783  0.08
O 0.098 0.744 0.609  0.04
O 0.851 0.540 0.783  0.08
O 0.149 0.040 0.217  0.08
Mn 0.348 0.750 0.196  2.68
Mn 0.652 0.250 0.804  2.68
O 0.187 0.761 0.000  0.09
Ca 0.442 0.281 0.373  0.00
O 0.068 0.540 0.217  0.08
O 0.902 0.244 0.391  0.04
Mn 0.152 0.750 0.804  2.68
Mn 0.848 0.250 0.196  2.68
Ca 0.254 0.212 0.000  0.01
O 0.627 0.958 0.170  0.07
Ca 0.746 0.712 0.000  0.01
O 0.511 0.244 0.609  0.04
Ca 0.558 0.781 0.627  0.00
Ca 0.068 0.281 0.627  0.00

- Formation energy without anion corrections: -33.68 eV per formula unit
- Space-group type: Cmc2_1 (36)
- Energy above the lowest structure with this stoichiometry: 0.000 eV per atom

=====

Number 1: density 4.5 Mg/m³. Number 2: density 3.2 Mg/m³. Number 3: density 5.0 Mg/m³. Number 4: density 4.0 Mg/m³. Number 5: density 4.4 Mg/m³. Number 6: density 4.3 Mg/m³.